P) # InCuRu GGA-PBE optimized geometry
# **Calculated density**: 9.92 Mg/m³
# **Crystal system**: tetragonal
data_InCuRu
_chemical_formula_sum 'In2 Cu2 Ru2'
_cell_length_a 3.190
_cell_length_b 3.190
_cell_length_c 9.193
_cell_angle_alpha 90.00
_cell_angle_beta 90.00
_cell_angle_gamma 90.00
_symmetry_space_group_name_H-M 'I 4 m m'
_symmetry_Int_Tables_number 107
_symmetry_space_group_name_Hall 'I 4 -2'
loop_
_atom_site_label
_atom_site_type_symbol
_atom_site_fract_x
_atom_site_fract_y
_atom_site_fract_z
_atom_site_occupancy
In1 In 0.000 0.000 0.000 1
Cu1 Cu 0.000 0.000 0.326 1
Ru1 Ru 0.000 0.000 0.679 1

Q) # InCuRu GGA-PBE optimized geometry
# **Calculated density**: 8.88 Mg/m³
# **Crystal system**: cubic
data_InCuRu
_chemical_formula_sum 'In4 Cu4 Ru4'
_cell_length_a 5.934
_cell_length_b 5.934
_cell_length_c 5.934
_cell_angle_alpha 90.00
_cell_angle_beta 90.00
_cell_angle_gamma 90.00
_symmetry_space_group_name_H-M 'F -4 3 m'
_symmetry_Int_Tables_number 216
_symmetry_space_group_name_Hall 'F -4 2 3'
loop_
_atom_site_label
_atom_site_type_symbol
_atom_site_fract_x
_atom_site_fract_y
_atom_site_fract_z
_atom_site_occupancy
In1 In 0.000 0.000 0.000 1
Cu1 Cu 0.250 0.250 0.250 1
Ru1 Ru 0.000 0.000 0.500 1

The calculated energies rank the structures as follows, beginning with the most stable: P), Q).

P) # In3CuS GGA-PBE optimized geometry
# **Calculated density**: 5.81 Mg/m³
# **Crystal system**: cubic
data_In3CuS
_chemical_formula_sum 'In3 Cu1 S1'
_cell_length_a 5.011
_cell_length_b 5.011
_cell_length_c 5.011
_cell_angle_alpha 90.00
_cell_angle_beta 90.00
_cell_angle_gamma 90.00
_symmetry_space_group_name_H-M 'P m -3 m'
_symmetry_Int_Tables_number 221
_symmetry_space_group_name_Hall '-P 4 2 3'
loop_
_atom_site_label
_atom_site_type_symbol
_atom_site_fract_x
_atom_site_fract_y
_atom_site_fract_z
_atom_site_occupancy
In1 In 0.000 0.000 0.500 1
Cu1 Cu 0.000 0.000 0.000 1
S1 S 0.500 0.500 0.500 1

Q) # In3CuS GGA-PBE optimized geometry
# **Calculated density**: 4.75 Mg/m³
# **Crystal system**: cubic
data_In3CuS
_chemical_formula_sum 'In3 Cu1 S1'
_cell_length_a 5.359
_cell_length_b 5.359
_cell_length_c 5.359
_cell_angle_alpha 90.00
_cell_angle_beta 90.00
_cell_angle_gamma 90.00
_symmetry_space_group_name_H-M 'P m -3 m'
_symmetry_Int_Tables_number 221
_symmetry_space_group_name_Hall '-P 4 2 3'
loop_
_atom_site_label
_atom_site_type_symbol
_atom_site_fract_x
_atom_site_fract_y
_atom_site_fract_z
_atom_site_occupancy
In1 In 0.000 0.000 0.500 1
Cu1 Cu 0.500 0.500 0.500 1
S1 S 0.000 0.000 0.000 1

The calculated energies rank the structures as follows, beginning with the most stable: P), Q).

P) # In2CuS GGA-PBE optimized geometry
# **Calculated density**: 4.91 Mg/m³
# **Crystal system**: tetragonal
data_In2CuS
_chemical_formula_sum 'In8 Cu4 S4'
_cell_length_a 6.460
_cell_length_b 6.460
_cell_length_c 10.546
_cell_angle_alpha 90.00
_cell_angle_beta 90.00
_cell_angle_gamma 90.00
_symmetry_space_group_name_H-M 'I -4 2 d'
_symmetry_Int_Tables_number 122
_symmetry_space_group_name_Hall 'I -4 2bw'
loop_
_atom_site_label
_atom_site_type_symbol
_atom_site_fract_x
_atom_site_fract_y
_atom_site_fract_z
_atom_site_occupancy
In1 In 0.239 0.250 0.125 1
Cu1 Cu 0.000 0.000 0.000 1
S1 S 0.000 0.000 0.500 1

Q) # In2CuS GGA-PBE optimized geometry
# **Calculated density**: 6.32 Mg/m³
# **Crystal system**: cubic
data_In2CuS
_chemical_formula_sum 'In8 Cu4 S4'
_cell_length_a 6.992
_cell_length_b 6.992
_cell_length_c 6.992
_cell_angle_alpha 90.00
_cell_angle_beta 90.00
_cell_angle_gamma 90.00
_symmetry_space_group_name_H-M 'F m -3 m'
_symmetry_Int_Tables_number 225
_symmetry_space_group_name_Hall '-F 4 2 3'
loop_
_atom_site_label
_atom_site_type_symbol
_atom_site_fract_x
_atom_site_fract_y
_atom_site_fract_z
_atom_site_occupancy
In1 In 0.250 0.250 0.250 1
Cu1 Cu 0.000 0.000 0.000 1
S1 S 0.000 0.000 0.500 1

R) # In2CuS GGA-PBE optimized geometry
# **Calculated density**: 5.46 Mg/m³
# **Crystal system**: trigonal
data_In2CuS
_chemical_formula_sum 'In6 Cu3 S3'
_cell_length_a 3.6372
_cell_length_b 3.6372
_cell_length_c 25.9099
_cell_angle_alpha 90.00
_cell_angle_beta 90.00
_cell_angle_gamma 120.00
_symmetry_space_group_name_H-M 'R -3 m'
_symmetry_Int_Tables_number 166
_symmetry_space_group_name_Hall '-R 3 2"'
loop_
_atom_site_label
_atom_site_type_symbol
_atom_site_fract_x
_atom_site_fract_y
_atom_site_fract_z
_atom_site_occupancy
In1 In 0.0000 0.0000 0.0967 1
Cu1 Cu 0.0000 0.0000 0.0000 1
S1 S 0.0000 0.0000 0.5000 1

The calculated energies rank the structures as follows, beginning with the most stable: P), R), Q).

P) # In2Cu2S GGA-PBE optimized geometry
# **Calculated density**: 6.89 Mg/m³
# **Crystal system**: tetragonal
data_In2Cu2S
_chemical_formula_sum 'In4 Cu4 S2'
_cell_length_a 6.656
_cell_length_b 6.656
_cell_length_c 4.229
_cell_angle_alpha 90.00
_cell_angle_beta 90.00
_cell_angle_gamma 90.00
_symmetry_space_group_name_H-M 'P 4/m b m'
_symmetry_Int_Tables_number 127
_symmetry_space_group_name_Hall '-P 4 2ab'
loop_
_atom_site_label
_atom_site_type_symbol
_atom_site_fract_x
_atom_site_fract_y
_atom_site_fract_z
_atom_site_occupancy
In1 In 0.167 0.333 0.000 1
Cu1 Cu 0.135 0.635 0.500 1
S1 S 0.000 0.000 0.500 1

Q) # In2Cu2S GGA-PBE optimized geometry
# **Calculated density**: 6.94 Mg/m³
# **Crystal system**: tetragonal
data_In2Cu2S
_chemical_formula_sum 'In4 Cu4 S2'
_cell_length_a 8.077
_cell_length_b 8.077
_cell_length_c 2.851
_cell_angle_alpha 90.00
_cell_angle_beta 90.00
_cell_angle_gamma 90.00
_symmetry_space_group_name_H-M 'P 4/m b m'
_symmetry_Int_Tables_number 127
_symmetry_space_group_name_Hall '-P 4 2ab'
loop_
_atom_site_label
_atom_site_type_symbol
_atom_site_fract_x
_atom_site_fract_y
_atom_site_fract_z
_atom_site_occupancy
In1 In 0.195 0.305 0.000 1
Cu1 Cu 0.103 0.603 0.500 1
S1 S 0.000 0.000 0.000 1

The calculated energies rank the structures as follows, beginning with the most stable: P), Q).